Computed, not measured: a geometry-optimized H2PdPbF8 structure at the PBE level of DFT.

Unit cell a=5.166 b=5.177 c=7.141 alpha=82.44 beta=82.18 gamma=65.72
Space group P-1 (No. 2)
One atom of each set of equivalent atoms:
H (0.229, 0.235, 0.267) x2
Pd (0.500, 0.500, 0.000) x1
Pb (0.500, 0.500, 0.500) x1
F (0.211, 0.217, 0.412) x2
F (0.256, 0.726, 0.801) x2
F (0.271, 0.277, 0.074) x2
F (0.277, 0.746, 0.200) x2

Properties
Final energy   -4.190 eV per atom
Total magnetization   0.00 μB per formula unit
ρ   4.518 g/cm3